[1]
VASP calculation (PBE-GGA) on a relaxed CsLaTb4S8 crystal.

abc: 8.558 8.558 8.558
angles: 58.28 58.28 58.28
Sites, in units of the cell vectors:
Cs 0.000 0.000 0.000
La 0.363 0.363 0.363
Tb 0.364 0.364 0.880
Tb 0.364 0.880 0.364
Tb 0.742 0.742 0.742
Tb 0.880 0.364 0.364
S 0.132 0.132 0.556
S 0.132 0.556 0.132
S 0.135 0.615 0.615
S 0.142 0.142 0.142
S 0.556 0.132 0.132
S 0.612 0.612 0.612
S 0.615 0.135 0.615
S 0.615 0.615 0.135

---

[2]
VASP calculation (PBE-GGA) on a relaxed CsLa2TcS crystal.

abc: 5.755 5.755 4.463
angles: 90.00 90.00 90.00
Sites, in units of the cell vectors:
Cs 0.000 0.000 0.000
La 0.000 0.500 0.500
La 0.500 0.000 0.500
Tc 0.500 0.500 0.000
S 0.500 0.500 0.500

---

[3]
VASP calculation (PBE-GGA) on a relaxed CsLaTeS2 crystal.

abc: 5.427 5.427 6.136
angles: 90.00 90.00 90.00
Sites, in units of the cell vectors:
Cs 0.000 0.000 0.000
La 0.500 0.500 0.500
Te 0.000 0.000 0.500
S 0.000 0.500 0.000
S 0.500 0.000 0.000

---

[4]
VASP calculation (PBE-GGA) on a relaxed Cs4LaTh3S8 crystal.

abc: 9.487 9.487 9.487
angles: 52.69 52.69 52.69
Sites, in units of the cell vectors:
Cs 0.000 0.000 0.000
Cs 0.000 0.500 0.500
Cs 0.500 0.000 0.500
Cs 0.500 0.500 0.000
La 0.500 0.500 0.500
Th 0.000 0.000 0.500
Th 0.000 0.500 0.000
Th 0.500 0.000 0.000
S 0.221 0.735 0.735
S 0.229 0.229 0.229
S 0.265 0.265 0.779
S 0.265 0.779 0.265
S 0.735 0.221 0.735
S 0.735 0.735 0.221
S 0.771 0.771 0.771
S 0.779 0.265 0.265

---

[5]
VASP calculation (PBE-GGA) on a relaxed Cs3LaTh2S6 crystal.

abc: 7.322 7.322 8.491
angles: 98.27 98.27 119.99
Sites, in units of the cell vectors:
Cs 0.000 0.000 0.000
Cs 0.335 0.665 0.000
Cs 0.665 0.335 0.000
La 0.500 0.500 0.500
Th 0.167 0.833 0.500
Th 0.833 0.167 0.500
S 0.093 0.437 0.311
S 0.219 0.219 0.688
S 0.437 0.093 0.311
S 0.563 0.907 0.689
S 0.781 0.781 0.312
S 0.907 0.563 0.689

---

[6]
VASP calculation (PBE-GGA) on a relaxed CsLaTiS4 crystal.

abc: 6.924 6.853 9.602
angles: 90.00 107.87 90.00
Sites, in units of the cell vectors:
Cs 0.223 0.250 0.436
Cs 0.777 0.750 0.564
La 0.275 0.250 0.952
La 0.725 0.750 0.048
Ti 0.277 0.750 0.167
Ti 0.723 0.250 0.833
S 0.075 0.750 0.312
S 0.077 0.750 0.935
S 0.499 0.003 0.198
S 0.499 0.497 0.198
S 0.501 0.503 0.802
S 0.501 0.997 0.802
S 0.923 0.250 0.065
S 0.925 0.250 0.688

---

[7]
VASP calculation (PBE-GGA) on a relaxed Cs3La2TmS6 crystal.

abc: 7.364 7.364 8.431
angles: 98.37 98.37 119.99
Sites, in units of the cell vectors:
Cs 0.000 0.000 0.000
Cs 0.332 0.668 0.000
Cs 0.668 0.332 0.000
La 0.167 0.833 0.500
La 0.833 0.167 0.500
Tm 0.500 0.500 0.500
S 0.121 0.439 0.316
S 0.243 0.243 0.684
S 0.439 0.121 0.316
S 0.561 0.879 0.684
S 0.757 0.757 0.316
S 0.879 0.561 0.684

---

[8]
VASP calculation (PBE-GGA) on a relaxed Cs3LaTm2S6 crystal.

abc: 7.191 7.191 8.412
angles: 98.20 98.20 119.99
Sites, in units of the cell vectors:
Cs 0.000 0.000 0.000
Cs 0.335 0.665 0.000
Cs 0.665 0.335 0.000
La 0.500 0.500 0.500
Tm 0.167 0.833 0.500
Tm 0.833 0.167 0.500
S 0.091 0.439 0.318
S 0.212 0.212 0.681
S 0.439 0.091 0.318
S 0.561 0.909 0.682
S 0.788 0.788 0.319
S 0.909 0.561 0.682

---

[9]
VASP calculation (PBE-GGA) on a relaxed Cs4La3TmS8 crystal.

abc: 9.460 9.460 9.460
angles: 53.76 53.76 53.76
Sites, in units of the cell vectors:
Cs 0.000 0.000 0.000
Cs 0.000 0.500 0.500
Cs 0.500 0.000 0.500
Cs 0.500 0.500 0.000
La 0.000 0.000 0.500
La 0.000 0.500 0.000
La 0.500 0.000 0.000
Tm 0.500 0.500 0.500
S 0.229 0.229 0.229
S 0.242 0.721 0.721
S 0.279 0.279 0.758
S 0.279 0.758 0.279
S 0.721 0.242 0.721
S 0.721 0.721 0.242
S 0.758 0.279 0.279
S 0.771 0.771 0.771

---

[10]
VASP calculation (PBE-GGA) on a relaxed Cs2LaTmS4 crystal.

abc: 7.282 4.202 8.422
angles: 90.00 106.69 90.00
Sites, in units of the cell vectors:
Cs 0.000 0.000 0.000
Cs 0.500 0.500 0.000
La 0.000 0.500 0.500
Tm 0.500 0.000 0.500
S 0.243 0.000 0.685
S 0.286 0.500 0.319
S 0.714 0.500 0.681
S 0.757 0.000 0.315

---

[11]
VASP calculation (PBE-GGA) on a relaxed Cs2LaUS4 crystal.

abc: 7.354 4.230 8.454
angles: 90.00 106.82 90.00
Sites, in units of the cell vectors:
Cs 0.000 0.000 0.000
Cs 0.500 0.500 0.000
La 0.000 0.500 0.500
U 0.500 0.000 0.500
S 0.240 0.000 0.687
S 0.284 0.500 0.318
S 0.716 0.500 0.682
S 0.760 0.000 0.313

---

[12]
VASP calculation (PBE-GGA) on a relaxed Cs3La3VS8 crystal.

abc: 9.491 9.491 9.491
angles: 51.78 51.78 51.78
Sites, in units of the cell vectors:
Cs 0.000 0.500 0.500
Cs 0.500 0.000 0.500
Cs 0.500 0.500 0.000
La 0.000 0.000 0.500
La 0.000 0.500 0.000
La 0.500 0.000 0.000
V 0.500 0.500 0.500
S 0.230 0.230 0.230
S 0.266 0.701 0.701
S 0.299 0.299 0.734
S 0.299 0.734 0.299
S 0.701 0.266 0.701
S 0.701 0.701 0.266
S 0.734 0.299 0.299
S 0.770 0.770 0.770

---

[13]
VASP calculation (PBE-GGA) on a relaxed Cs3LaY2S6 crystal.

abc: 7.258 7.258 8.427
angles: 98.26 98.26 120.00
Sites, in units of the cell vectors:
Cs 0.000 0.000 0.000
Cs 0.335 0.665 0.000
Cs 0.665 0.335 0.000
La 0.500 0.500 0.500
Y 0.167 0.833 0.500
Y 0.833 0.167 0.500
S 0.094 0.439 0.316
S 0.216 0.216 0.683
S 0.439 0.094 0.316
S 0.561 0.906 0.684
S 0.784 0.784 0.317
S 0.906 0.561 0.684

---

[14]
VASP calculation (PBE-GGA) on a relaxed CsLaY4S8 crystal.

abc: 8.544 8.544 8.544
angles: 58.20 58.20 58.20
Sites, in units of the cell vectors:
Cs 0.000 0.000 0.000
La 0.362 0.362 0.362
Y 0.364 0.364 0.880
Y 0.364 0.880 0.364
Y 0.742 0.742 0.742
Y 0.880 0.364 0.364
S 0.131 0.131 0.556
S 0.131 0.556 0.131
S 0.135 0.615 0.615
S 0.142 0.142 0.142
S 0.556 0.131 0.131
S 0.612 0.612 0.612
S 0.615 0.135 0.615
S 0.615 0.615 0.135

---

[15]
VASP calculation (PBE-GGA) on a relaxed CsLaZnS3 crystal.

abc: 9.616 4.215 9.956
angles: 90.00 108.09 90.00
Sites, in units of the cell vectors:
Cs 0.202 0.250 0.233
Cs 0.798 0.750 0.767
La 0.334 0.750 0.850
La 0.666 0.250 0.150
Zn 0.080 0.250 0.609
Zn 0.920 0.750 0.391
S 0.126 0.250 0.850
S 0.171 0.750 0.534
S 0.464 0.750 0.149
S 0.536 0.250 0.851
S 0.829 0.250 0.466
S 0.874 0.750 0.150

---

[16]
VASP calculation (PBE-GGA) on a relaxed Cs2La2ZrS6 crystal.

abc: 7.138 7.138 8.568
angles: 98.19 98.19 119.33
Sites, in units of the cell vectors:
Cs 0.170 0.830 0.000
Cs 0.830 0.170 0.000
La 0.334 0.666 0.500
La 0.666 0.334 0.500
Zr 0.000 0.000 0.500
S 0.059 0.366 0.678
S 0.241 0.241 0.322
S 0.366 0.059 0.678
S 0.634 0.941 0.322
S 0.759 0.759 0.678
S 0.941 0.634 0.322

---

[17]
VASP calculation (PBE-GGA) on a relaxed Cs4La3ZrS8 crystal.

abc: 9.431 9.431 9.431
angles: 53.09 53.09 53.09
Sites, in units of the cell vectors:
Cs 0.000 0.000 0.000
Cs 0.000 0.500 0.500
Cs 0.500 0.000 0.500
Cs 0.500 0.500 0.000
La 0.000 0.000 0.500
La 0.000 0.500 0.000
La 0.500 0.000 0.000
Zr 0.500 0.500 0.500
S 0.231 0.231 0.231
S 0.253 0.715 0.715
S 0.285 0.285 0.747
S 0.285 0.747 0.285
S 0.715 0.253 0.715
S 0.715 0.715 0.253
S 0.747 0.285 0.285
S 0.769 0.769 0.769

---

[18]
VASP calculation (PBE-GGA) on a relaxed Cs3La2ZrS6 crystal.

abc: 7.221 7.221 8.430
angles: 98.23 98.23 119.99
Sites, in units of the cell vectors:
Cs 0.000 0.000 0.000
Cs 0.331 0.669 0.000
Cs 0.669 0.331 0.000
La 0.166 0.834 0.500
La 0.834 0.166 0.500
Zr 0.500 0.500 0.500
S 0.131 0.439 0.316
S 0.255 0.255 0.685
S 0.439 0.131 0.316
S 0.561 0.869 0.684
S 0.745 0.745 0.315
S 0.869 0.561 0.684

---

[19]
VASP calculation (PBE-GGA) on a relaxed CsLa2Sb2 crystal.

abc: 8.885 8.885 8.885
angles: 143.95 143.95 51.90
Sites, in units of the cell vectors:
Cs 0.000 0.000 0.000
La 0.250 0.750 0.500
La 0.750 0.250 0.500
Sb 0.355 0.355 0.000
Sb 0.645 0.645 0.000

---

[20]
VASP calculation (PBE-GGA) on a relaxed CsLa2Sb2 crystal.

abc: 9.413 9.413 4.117
angles: 90.00 90.00 90.00
Sites, in units of the cell vectors:
Cs 0.000 0.000 0.000
Cs 0.500 0.500 0.000
La 0.141 0.359 0.500
La 0.359 0.859 0.500
La 0.641 0.141 0.500
La 0.859 0.641 0.500
Sb 0.148 0.648 0.000
Sb 0.352 0.148 0.000
Sb 0.648 0.852 0.000
Sb 0.852 0.352 0.000

---

[21]
VASP calculation (PBE-GGA) on a relaxed CsLa2SiSb crystal.

abc: 5.926 5.926 5.111
angles: 90.00 90.00 90.00
Sites, in units of the cell vectors:
Cs 0.000 0.000 0.000
La 0.000 0.500 0.000
La 0.500 0.000 0.000
Si 0.000 0.000 0.500
Sb 0.500 0.500 0.500

---

Number 1: E_form (uncorrected) -2550 kJ/mol of formula units. Number 2: E_form (uncorrected) -20 kJ/mol of formula units. Number 3: E_form (uncorrected) 87 kJ/mol of formula units. Number 4: E_form (uncorrected) -2627 kJ/mol of formula units. Number 5: E_form (uncorrected) -1997 kJ/mol of formula units. Number 6: E_form (uncorrected) -1137 kJ/mol of formula units. Number 7: E_form (uncorrected) -2153 kJ/mol of formula units. Number 8: E_form (uncorrected) -2130 kJ/mol of formula units. Number 9: E_form (uncorrected) -2875 kJ/mol of formula units. Number 10: E_form (uncorrected) -1423 kJ/mol of formula units. Number 11: E_form (uncorrected) -1227 kJ/mol of formula units. Number 12: E_form (uncorrected) -2295 kJ/mol of formula units. Number 13: E_form (uncorrected) -2142 kJ/mol of formula units. Number 14: E_form (uncorrected) -2551 kJ/mol of formula units. Number 15: E_form (uncorrected) -878 kJ/mol of formula units. Number 16: E_form (uncorrected) -1915 kJ/mol of formula units. Number 17: E_form (uncorrected) -2681 kJ/mol of formula units. Number 18: E_form (uncorrected) -1965 kJ/mol of formula units. Number 19: E_form (uncorrected) -345 kJ/mol of formula units. Number 20: E_form (uncorrected) -350 kJ/mol of formula units. Number 21: E_form (uncorrected) 509 kJ/mol of formula units.